## 1
LaZrBe: optimized geometry, PBE.

mass density: 5360 kg/m3
total magnetization: 0.84 μB per formula unit
D(E_F): 14.98 states/eV/cell

a = 6.667 Å, b = 6.667 Å, c = 6.667 Å
α = 90.00°, β = 90.00°, γ = 90.00°
Space group F-43m (No. 216)
Inequivalent atoms, fractional coordinates:
La 0.000 0.000 0.000 [4 per cell]
Zr 0.250 0.250 0.250 [4 per cell]
Be 0.250 0.250 0.750 [4 per cell]


## 2
LaZrBe: optimized geometry, PBE.

mass density: 5481 kg/m3
total magnetization: 0.00 μB per formula unit
D(E_F): 4.26 states/eV/cell

a = 4.4200 Å, b = 4.4200 Å, c = 4.2823 Å
α = 90.00°, β = 90.00°, γ = 120.00°
Space group P-6m2 (No. 187)
Inequivalent atoms, fractional coordinates:
La 0.0000 0.0000 0.0000 [1 per cell]
Zr 0.6667 0.3333 0.5000 [1 per cell]
Be 0.3333 0.6667 0.5000 [1 per cell]


## 3
LaZrBe: optimized geometry, PBE.

mass density: 5614 kg/m3
total magnetization: 0.78 μB per formula unit
D(E_F): 4.01 states/eV/cell

a = 3.4106 Å, b = 3.4106 Å, c = 7.0220 Å
α = 90.00°, β = 90.00°, γ = 120.00°
Space group P3m1 (No. 156)
Inequivalent atoms, fractional coordinates:
La 0.0000 0.0000 0.0000 [1 per cell]
Zr 0.6667 0.3333 0.4458 [1 per cell]
Be 0.3333 0.6667 0.6938 [1 per cell]


Which is most stable, and by how much? 2, by 66 meV/atom.


## 1
Li3Be: optimized geometry, PBE.

mass density: 866 kg/m3
total magnetization: 0.00 μB per formula unit
D(E_F): 1.00 states/eV/cell

a = 2.6387 Å, b = 2.6387 Å, c = 9.4844 Å
α = 90.00°, β = 90.00°, γ = 120.00°
Space group P-6m2 (No. 187)
Inequivalent atoms, fractional coordinates:
Li 0.0000 0.0000 0.0000 [1 per cell]
Li 0.6667 0.3333 0.2695 [2 per cell]
Be 0.0000 0.0000 0.5000 [1 per cell]


## 2
Li3Be: optimized geometry, PBE.

mass density: 844 kg/m3
total magnetization: 0.00 μB per formula unit
D(E_F): 1.21 states/eV/cell

a = 3.887 Å, b = 3.887 Å, c = 3.887 Å
α = 90.00°, β = 90.00°, γ = 90.00°
Space group Pm-3m (No. 221)
Inequivalent atoms, fractional coordinates:
Li 0.000 0.000 0.500 [3 per cell]
Be 0.500 0.500 0.500 [1 per cell]


## 3
Li3Be: optimized geometry, PBE.

mass density: 855 kg/m3
total magnetization: 0.00 μB per formula unit
D(E_F): 4.71 states/eV/cell

a = 4.383 Å, b = 9.148 Å, c = 5.782 Å
α = 90.00°, β = 90.00°, γ = 90.00°
Space group Pnma (No. 62)
Inequivalent atoms, fractional coordinates:
Li 0.119 0.250 0.116 [4 per cell]
Li 0.239 0.516 0.380 [8 per cell]
Be 0.144 0.250 0.660 [4 per cell]


## 4
Li3Be: optimized geometry, PBE.

mass density: 821 kg/m3
total magnetization: 0.00 μB per formula unit
D(E_F): 1.78 states/eV/cell

a = 2.781 Å, b = 2.781 Å, c = 7.805 Å
α = 90.00°, β = 90.00°, γ = 90.00°
Space group P4/mmm (No. 123)
Inequivalent atoms, fractional coordinates:
Li 0.000 0.000 0.000 [1 per cell]
Li 0.500 0.500 0.290 [2 per cell]
Be 0.000 0.000 0.500 [1 per cell]


Which is most stable, and by how much? 3, by 23 meV/atom.


## 1
Li3Be: optimized geometry, PBE.

mass density: 841 kg/m3
total magnetization: 0.00 μB per formula unit
D(E_F): 3.38 states/eV/cell

a = 4.514 Å, b = 5.531 Å, c = 4.721 Å
α = 90.00°, β = 90.00°, γ = 90.00°
Space group Pmmn (No. 59, origin choice 2)
Inequivalent atoms, fractional coordinates:
Li 0.250 0.002 0.180 [4 per cell]
Li 0.250 0.750 0.654 [2 per cell]
Be 0.250 0.250 0.680 [2 per cell]


## 2
Li3Be: optimized geometry, PBE.

mass density: 857 kg/m3
total magnetization: 0.00 μB per formula unit
D(E_F): 3.33 states/eV/cell

a = 9.224 Å, b = 2.603 Å, c = 4.876 Å
α = 90.00°, β = 98.83°, γ = 90.00°
Space group C2/m (No. 12)
Inequivalent atoms, fractional coordinates:
Li 0.000 0.000 0.000 [2 per cell]
Li 0.240 0.000 0.731 [4 per cell]
Be 0.000 0.500 0.500 [2 per cell]


## 3
Li3Be: optimized geometry, PBE.

mass density: 832 kg/m3
total magnetization: 0.00 μB per formula unit
D(E_F): 2.46 states/eV/cell

a = 5.4866 Å, b = 5.4866 Å, c = 4.5685 Å
α = 90.00°, β = 90.00°, γ = 120.00°
Space group P6_3/mmc (No. 194)
Inequivalent atoms, fractional coordinates:
Li 0.1739 0.3477 0.2500 [6 per cell]
Be 0.3333 0.6667 0.7500 [2 per cell]


Which is most stable, and by how much? 2, by 18 meV/atom.


## 1
Li3Be: optimized geometry, PBE.

mass density: 841 kg/m3
total magnetization: 0.00 μB per formula unit
D(E_F): 3.82 states/eV/cell

a = 4.082 Å, b = 4.082 Å, c = 7.067 Å
α = 90.00°, β = 90.00°, γ = 90.00°
Space group I4/mmm (No. 139)
Inequivalent atoms, fractional coordinates:
Li 0.000 0.000 0.000 [2 per cell]
Li 0.000 0.500 0.250 [4 per cell]
Be 0.000 0.000 0.500 [2 per cell]


## 2
Li3Be: optimized geometry, PBE.

mass density: 861 kg/m3
total magnetization: 0.00 μB per formula unit
D(E_F): 5.05 states/eV/cell

a = 8.6953 Å, b = 8.6953 Å, c = 2.6356 Å
α = 90.00°, β = 90.00°, γ = 120.00°
Space group R-3m (No. 166, hexagonal axes)
Inequivalent atoms, fractional coordinates:
Li 0.0000 0.5000 0.0000 [9 per cell]
Be 0.0000 0.0000 0.0000 [3 per cell]


Which is most stable, and by how much? 2, by 15 meV/atom.